(1)
IrOsCl: relaxed, PBE-GGA.

POSCAR file:
```
IrOsCl
1.0
7.245 -0.021 0.013
6.378 2.718 0.009
0.867 -1.339 2.390
Cl Ir Os
1 1 1
Cartesian
13.478 2.651 0.048
9.487 1.389 0.789
5.148 0.016 1.595
```

Properties
- E above lowest polymorph: 0.113 eV per atom
- Formation energy (no corrections): 0.77 eV per atom
- Total moment: 0.3 Bohr magnetons per cell
- Total energy: -6.55 eV/atom
- Calculated density: 14.7 g/cm3

(2)
Rb4Th3RhS8: relaxed, PBE-GGA.

POSCAR file:
```
Rb4Th3RhS8
1.0
7.839 0.000 0.000
0.000 9.028 0.550
-3.919 -4.127 6.281
Rb Th Rh S
4 3 1 8
Cartesian
3.919 0.000 0.000
1.960 -2.064 3.140
0.000 0.000 0.000
-1.960 -2.064 3.140
3.919 4.514 0.275
1.960 2.451 3.415
-1.960 2.451 3.415
0.000 4.514 0.275
-2.185 2.130 6.281
0.000 4.345 3.851
0.000 0.420 3.697
2.185 2.130 6.281
1.734 2.771 0.550
3.919 4.481 3.134
3.919 0.556 2.980
6.105 2.771 0.550
```

Properties
- Formation energy (no corrections): -1.43 eV per atom
- Total moment: 0.0 Bohr magnetons per cell
- Total energy: -5.58 eV/atom
- Calculated density: 5.0 g/cm3

(3)
Tb12Au3N5: relaxed, PBE-GGA.

POSCAR file:
```
Tb12Au3N5
1.0
13.403 0.000 0.000
-4.468 12.636 0.000
-4.468 -6.318 10.943
Au N Tb
12 20 48
Cartesian
7.818 3.949 1.368
7.818 8.687 1.368
-1.117 5.528 6.839
1.117 -0.790 4.104
10.052 0.000 2.736
1.117 6.318 2.736
3.351 0.000 8.207
-5.584 6.318 8.207
3.351 7.108 6.839
5.584 0.790 4.104
-3.351 -2.369 9.575
-3.351 2.369 9.575
-1.117 3.159 2.736
-2.234 6.318 0.000
0.000 0.000 0.000
3.351 2.369 1.368
4.468 -3.159 5.472
4.468 6.318 0.000
-3.351 7.108 4.104
5.584 -3.949 9.575
5.584 5.528 4.104
1.117 -3.159 8.207
3.351 9.477 2.736
2.234 3.159 5.472
6.701 0.000 0.000
-2.234 -3.159 5.472
-1.117 0.790 6.839
-1.117 10.267 1.368
-4.468 3.159 5.472
7.818 -0.790 6.839
1.117 3.949 9.575
5.584 3.159 8.207
8.812 1.340 0.192
0.124 3.996 4.407
10.113 2.982 3.266
5.523 1.822 1.257
1.674 4.544 7.485
9.677 6.384 2.014
-1.178 7.478 4.522
-3.289 10.814 1.257
0.560 8.092 7.485
5.960 6.252 2.014
6.825 3.662 4.215
6.825 11.296 0.192
-3.908 5.595 5.664
2.975 4.541 0.949
-4.591 8.974 4.215
2.357 -2.322 6.536
-0.560 1.052 2.206
2.975 8.029 1.064
5.523 9.655 3.266
-0.742 4.607 1.064
-2.794 7.370 8.737
3.412 5.158 4.522
6.141 7.041 5.664
5.209 -1.777 9.994
1.056 1.160 6.421
-1.674 -0.723 5.279
-0.742 8.095 0.949
-1.056 -3.336 7.678
7.261 -1.052 2.206
5.209 1.711 9.879
1.492 -1.711 9.879
2.110 8.640 4.407
5.028 5.267 8.737
9.059 -2.656 6.728
8.375 0.723 5.279
-2.357 -4.978 10.751
1.492 1.777 9.994
3.908 -1.774 3.458
-1.492 0.066 8.930
-2.357 2.656 6.728
7.757 -4.496 9.686
5.646 -1.160 6.421
-1.056 4.496 9.686
-5.209 -0.066 8.930
2.794 1.774 3.458
-5.646 3.336 7.678
4.344 2.322 6.536
-4.344 4.978 10.751
```

Properties
- Formation energy (no corrections): -0.94 eV per atom
- Total moment: 0.0 Bohr magnetons per cell
- Total energy: -6.29 eV/atom
- Calculated density: 9.2 g/cm3

(4)
Ba3Pb4Au2: relaxed, PBE-GGA.

POSCAR file:
```
Ba3Pb4Au2
1.0
5.183 0.000 0.000
-2.592 6.145 0.044
0.000 -2.416 9.699
Ba Pb Au
3 4 2
Cartesian
2.592 -0.048 6.715
0.000 0.000 0.000
0.000 3.778 3.027
2.592 2.340 0.616
0.000 1.390 9.126
2.592 3.472 5.596
0.000 0.258 4.146
2.592 1.310 3.338
0.000 2.420 6.404
```

Properties
- Total moment: 0.0 Bohr magnetons per cell
- ΔH_f (0 K): -524 meV/atom
- Total energy: -3.54 eV/atom
- Calculated density: 8.8 g/cm3

(5)
HfGeSN2: relaxed, PBE-GGA.

POSCAR file:
```
HfGeSN2
1.0
-0.908 0.422 3.665
3.453 -1.232 0.997
1.582 4.346 -0.109
Ge Hf S N
1 1 1 2
Cartesian
0.000 0.000 0.000
2.064 1.768 2.277
0.791 2.173 -0.054
1.726 -0.616 0.498
-0.454 0.211 1.832
```

Properties
- E above lowest polymorph: 0.238 eV per atom
- Formation energy (no corrections): 0.44 eV per atom
- Total moment: 0.0 Bohr magnetons per cell
- Total energy: -6.63 eV/atom
- Calculated density: 7.7 g/cm3

(6)
Ho2ErPu3S6: relaxed, PBE-GGA.

POSCAR file:
```
Ho2ErPu3S6
1.0
-3.034 0.871 -2.304
-4.916 -2.814 5.410
2.249 7.798 3.300
Ho Er Pu S
2 1 3 6
Cartesian
-4.293 4.061 3.874
-1.408 1.795 2.532
-1.517 0.435 -1.152
-3.975 -0.972 1.553
-1.844 5.457 1.176
-3.857 0.398 5.230
-4.000 2.941 6.380
-4.130 1.572 2.718
-1.701 2.914 0.026
-1.207 -0.666 1.338
-4.494 6.521 5.068
-1.572 4.283 3.688
```

Properties
- Formation energy (no corrections): -1.90 eV per atom
- Total moment: 5.6 Bohr magnetons per cell
- Total energy: -8.69 eV/atom
- Calculated density: 9.3 g/cm3

(7)
Zr3TlCo: relaxed, PBE-GGA.

POSCAR file:
```
Zr3TlCo
1.0
-0.216 1.069 -4.725
4.594 -1.455 -0.539
-1.537 -4.501 -0.948
Tl Co Zr
1 1 3
Cartesian
1.421 -2.443 -3.106
0.000 0.000 0.000
2.297 -0.728 -0.270
-0.768 -2.250 -0.474
-0.108 0.535 -2.362
```

Properties
- E above lowest polymorph: 0.194 eV per atom
- Total moment: 0.0 Bohr magnetons per cell
- ΔH_f (0 K): 51 meV/atom
- Total energy: -6.97 eV/atom
- Calculated density: 7.8 g/cm3

(8)
La2ScAlPd6: relaxed, PBE-GGA.

POSCAR file:
```
La2ScAlPd6
1.0
8.412 -0.054 1.814
0.031 5.790 0.039
5.548 2.829 5.937
La Sc Al Pd
2 1 1 6
Cartesian
5.528 5.739 3.887
8.463 2.825 3.904
4.222 2.868 0.927
0.000 0.000 0.000
7.557 7.149 6.339
6.448 4.296 1.469
5.015 2.849 3.505
6.435 1.416 1.451
7.544 4.269 6.322
8.977 5.715 4.286
```

Properties
- Total moment: 0.0 Bohr magnetons per cell
- ΔH_f (0 K): -658 meV/atom
- Total energy: -5.77 eV/atom
- Calculated density: 7.1 g/cm3

- calculated density of number 1 (IrOsCl)?
  14.7 g/cm3